## DyTm3Cu2 (GGA-PBE)

Data for a geometry-optimized DyTm3Cu2 structure.

Output
- space group = Ibam, No. 72
- density of states at the Fermi level (states/eV/cell) = 13.371
- excess energy over the best structure of this formula in the dataset (meV per atom) = 176

Lattice parameters (Å, degrees): 6.7157 7.0681 8.2374 115.41 114.06 90.00
Fractional positions:
Cu (0.8499, 0.1421, 0.2843)
Cu (0.4343, 0.6421, 0.2843)
Cu (0.1501, 0.8579, 0.7157)
Cu (0.5657, 0.3579, 0.7157)
Tm (0.2347, 0.9847, 0.4694)
Tm (0.7653, 0.5153, 0.5306)
Tm (0.5000, 0.7500, 0.0000)
Tm (0.5000, 0.2500, 0.0000)
Tm (0.2347, 0.4847, 0.4694)
Tm (0.7653, 0.0153, 0.5306)
Dy (0.0000, 0.0000, 0.0000)
Dy (0.0000, 0.5000, 0.0000)

---

## Dy4Tm3Cu4 (GGA-PBE)

Data for a geometry-optimized Dy4Tm3Cu4 structure.

Output
- space group = Immm, No. 71
- density of states at the Fermi level (states/eV/cell) = 10.468

Lattice parameters (Å, degrees): 4.8076 7.2670 8.6707 114.77 106.10 90.00
Fractional positions:
Cu (0.5000, 0.8327, 0.0000)
Cu (0.5000, 0.1673, 0.0000)
Cu (0.1988, 0.6988, 0.3977)
Cu (0.8012, 0.3012, 0.6023)
Tm (0.1034, 0.1034, 0.2068)
Tm (0.8966, 0.8966, 0.7932)
Tm (0.0000, 0.5000, 0.0000)
Dy (0.6722, 0.8930, 0.3444)
Dy (0.6722, 0.4515, 0.3444)
Dy (0.3278, 0.1070, 0.6556)
Dy (0.3278, 0.5485, 0.6556)

---

## DyTm4Cu2 (GGA-PBE)

Data for a geometry-optimized DyTm4Cu2 structure.

Output
- space group = R-3m, No. 166
- density of states at the Fermi level (states/eV/cell) = 7.911

Lattice parameters (Å, degrees): 4.7535 4.7535 10.1487 76.46 76.46 60.00
Fractional positions:
Tm (0.3000, 0.3000, 0.1000)
Tm (0.7000, 0.7000, 0.9000)
Tm (0.9023, 0.9023, 0.2930)
Tm (0.0977, 0.0977, 0.7070)
Cu (0.3989, 0.3989, 0.8034)
Cu (0.6011, 0.6011, 0.1966)
Dy (0.5000, 0.5000, 0.5000)

---

Ordered DFT total energy results: -4.3700 -4.4549 -4.2437; unit eV per atom.